No. 1
# Sb3RhN

A relaxed structure of Sb3RhN (PBE, Alexandria).

energy relative to the lowest polymorph listed for this composition	0.747	eV per atom
ρ	6.1	Mg/m³

The structure in extended XYZ format:
```
5
Lattice="-4.197 -2.691 -0.940 -0.823 -0.458 4.985 -2.729 4.277 -0.057" Properties=species:S:1:pos:R:3 pbc="T T T"
Sb -0.412 -0.229 2.493
Sb -1.365 2.138 -0.029
Sb -2.098 -1.346 -0.470
Rh 0.000 0.000 0.000
N -3.875 0.564 1.994
```

No. 2
# Al2CuPd5

A relaxed structure of Al2CuPd5 (PBE, Alexandria).

ρ	9.3	Mg/m³
energy of formation from the pure elements	-0.64	eV per atom

The structure in extended XYZ format:
```
16
Lattice="4.043 0.000 0.000 0.000 5.404 0.000 0.000 0.000 10.622" Properties=species:S:1:pos:R:3 pbc="T T T"
Al 2.021 1.694 3.883
Al 2.021 3.711 6.739
Al 2.021 1.009 9.194
Al 2.021 4.396 1.428
Cu 0.000 0.000 5.311
Cu 0.000 2.702 0.000
Pd 2.021 1.631 1.189
Pd 2.021 3.773 9.433
Pd 2.021 4.333 4.122
Pd 2.021 1.071 6.500
Pd 0.000 4.932 7.827
Pd 0.000 0.473 2.794
Pd 0.000 2.229 8.105
Pd 0.000 3.175 2.517
Pd 0.000 2.702 5.311
Pd 0.000 0.000 0.000
```

No. 3
# Pm2GaSn

A relaxed structure of Pm2GaSn (PBE, Alexandria).

ρ	7.5	Mg/m³
energy of formation from the pure elements	-0.61	eV per atom

The structure in extended XYZ format:
```
4
Lattice="-2.115 -1.726 -3.312 3.999 -2.747 -1.122 -1.669 -3.639 2.961" Properties=species:S:1:pos:R:3 pbc="T T T"
Sn 0.107 -4.056 -0.737
Ga -1.058 -0.863 -1.656
Pm -0.834 -1.819 1.481
Pm 1.999 -1.374 -0.561
```

No. 4
# Pu3Ge2Rh6

A relaxed structure of Pu3Ge2Rh6 (PBE, Alexandria).

ρ	12.7	Mg/m³
energy of formation from the pure elements	-0.53	eV per atom

The structure in extended XYZ format:
```
22
Lattice="1.568 3.661 -6.912 -0.971 -7.812 -1.290 -6.673 3.024 3.157" Properties=species:S:1:pos:R:3 pbc="T T T"
Pu -3.734 4.890 -2.747
Pu -1.370 1.795 -1.008
Pu -2.052 -1.286 0.501
Pu -5.592 -3.503 1.366
Pu 0.160 -1.114 -2.202
Pu 0.437 -3.037 -5.999
Ge -0.486 -3.906 -0.645
Ge 0.784 1.831 -3.456
Ge -3.336 1.512 1.578
Ge -3.038 -0.563 -2.522
Rh -3.606 2.006 -2.824
Rh -1.320 3.438 -3.383
Rh -3.784 3.247 -0.372
Rh -2.470 -3.133 -2.220
Rh -2.970 -4.014 0.269
Rh -1.580 0.888 -4.191
Rh -4.496 -2.015 -0.854
Rh -4.675 -0.774 1.598
Rh -0.081 -3.791 -3.260
Rh -1.607 -1.792 -4.383
Rh -4.469 0.665 -0.662
Rh 0.678 -0.360 -4.941
```

No. 5
# HfNbAl2Sb

A relaxed structure of HfNbAl2Sb (PBE, Alexandria).

calculated total energy	-5.5573	eV per atom
ρ	6.0	Mg/m³

The structure in extended XYZ format:
```
5
Lattice="4.877 0.000 0.000 0.000 5.172 0.000 0.000 0.000 4.877" Properties=species:S:1:pos:R:3 pbc="T T T"
Sb 0.000 2.586 0.000
Nb 0.000 0.000 0.000
Hf 2.438 2.586 2.438
Al 0.000 0.000 2.438
Al 2.438 0.000 0.000
```

No. 6
# Tb2AlPd3

A relaxed structure of Tb2AlPd3 (PBE, Alexandria).

energy relative to the lowest polymorph listed for this composition	0.000	eV per atom
ρ	9.6	Mg/m³
energy of formation from the pure elements	-0.88	eV per atom

The structure in extended XYZ format:
```
12
Lattice="5.608 0.000 0.000 -2.804 4.857 0.000 0.000 0.000 8.404" Properties=species:S:1:pos:R:3 pbc="T T T"
Tb 2.804 1.619 3.731
Tb 0.000 3.238 4.674
Tb 0.000 3.238 7.933
Tb 2.804 1.619 0.471
Al 0.000 0.000 4.202
Al 0.000 0.000 0.000
Pd 0.000 1.625 2.101
Pd 1.407 0.812 6.303
Pd 2.804 3.232 6.303
Pd -1.397 4.044 2.101
Pd 4.201 0.812 6.303
Pd 1.397 4.044 2.101
```

No. 7
# Ba2TlF6

A relaxed structure of Ba2TlF6 (PBE, Alexandria).

calculated total energy	-4.9945	eV per atom
ρ	4.7	Mg/m³

The structure in extended XYZ format:
```
18
Lattice="5.810 0.000 0.000 0.000 5.810 0.000 0.000 0.000 12.311" Properties=species:S:1:pos:R:3 pbc="T T T"
Ba 0.000 0.000 4.118
Ba 2.905 2.905 10.273
Ba 2.905 2.905 2.038
Ba 0.000 0.000 8.194
Tl 0.000 0.000 0.000
Tl 2.905 2.905 6.156
F 1.838 1.838 4.197
F 3.971 3.971 4.197
F 1.067 4.743 10.353
F 4.743 1.067 10.353
F 1.067 4.743 1.959
F 4.743 1.067 1.959
F 1.838 1.838 8.114
F 3.971 3.971 8.114
F 1.722 1.722 0.000
F 4.087 4.087 0.000
F 1.182 4.627 6.156
F 4.627 1.182 6.156
```

No. 8
# Sm4BC2

A relaxed structure of Sm4BC2 (PBE, Alexandria).

ρ	8.0	Mg/m³
energy of formation from the pure elements	0.21	eV per atom

The structure in extended XYZ format:
```
7
Lattice="-2.445 3.372 -2.119 -4.670 -0.175 -0.043 -2.561 4.666 5.228" Properties=species:S:1:pos:R:3 pbc="T T T"
Sm -4.902 5.159 3.560
Sm -2.451 2.577 1.776
Sm -7.224 5.287 1.290
Sm -4.773 2.705 -0.494
B 0.000 0.000 0.000
C -2.519 3.867 3.907
C -7.156 3.997 -0.841
```

No. 9
# BeCd4

A relaxed structure of BeCd4 (PBE, Alexandria).

energy relative to the lowest polymorph listed for this composition	0.030	eV per atom
ρ	7.7	Mg/m³
energy of formation from the pure elements	0.30	eV per atom

The structure in extended XYZ format:
```
5
Lattice="4.348 -0.584 -2.929 -0.843 1.838 4.872 -1.148 -5.084 0.814" Properties=species:S:1:pos:R:3 pbc="T T T"
Be 0.000 0.000 0.000
Cd -0.522 -3.146 2.972
Cd 1.500 -0.885 2.402
Cd 2.879 -0.685 -0.215
Cd 0.857 -2.945 0.355
```

No. 10
# Nd2OsPbO8

A relaxed structure of Nd2OsPbO8 (PBE, Alexandria).

calculated total energy	-7.2800	eV per atom
ρ	7.2	Mg/m³

The structure in extended XYZ format:
```
12
Lattice="-2.210 -4.280 -1.863 -1.740 -1.106 4.733 -5.888 3.615 -1.319" Properties=species:S:1:pos:R:3 pbc="T T T"
Nd -6.390 0.021 0.444
Nd -3.448 -1.792 1.107
Os 0.000 0.000 0.000
Pb -2.944 1.808 -0.660
O -3.029 -0.922 3.291
O -8.826 -0.395 0.822
O -3.337 -2.977 -0.964
O -6.809 -0.850 -1.740
O -1.011 -1.376 0.729
O -6.501 1.206 2.515
O -5.683 -1.922 1.332
O -4.155 0.151 0.219
```

No. 11
# BaGaCl2F

A relaxed structure of BaGaCl2F (PBE, Alexandria).

calculated total energy	-3.7136	eV per atom
ρ	2.9	Mg/m³

The structure in extended XYZ format:
```
5
Lattice="-2.760 1.168 5.288 -1.549 -4.316 0.145 5.012 -1.698 2.991" Properties=species:S:1:pos:R:3 pbc="T T T"
F 0.000 0.000 0.000
Ba -0.774 -2.158 0.072
Ga 0.352 -2.423 4.212
Cl 2.506 -0.849 1.495
Cl -1.380 0.584 2.644
```

No. 12
# GaNiSb2Te

A relaxed structure of GaNiSb2Te (PBE, Alexandria).

energy relative to the lowest polymorph listed for this composition	0.000	eV per atom
ρ	6.2	Mg/m³

The structure in extended XYZ format:
```
5
Lattice="4.928 0.000 0.000 0.000 4.928 0.000 0.000 0.000 5.473" Properties=species:S:1:pos:R:3 pbc="T T T"
Sb 0.000 2.464 0.000
Sb 2.464 0.000 0.000
Te 0.000 0.000 2.736
Ga 2.464 2.464 2.736
Ni 0.000 0.000 0.000
```